A relaxed structure of LiSnBiCl6, computed with PBE.

Values from the calculation:
DOS(E_F) in states/eV/f.u.: 0.0
Formation energy without anion corrections in eV/atom: -1.166

extended XYZ file:
```
18
Lattice="6.800 0.000 0.000 -3.400 5.889 0.000 0.000 0.000 12.584" Properties=species:S:1:pos:R:3 pbc="T T T"
Li 0.000 3.926 3.146
Li 3.400 1.963 9.438
Sn 0.000 0.000 0.000
Sn 0.000 0.000 6.292
Bi 0.000 3.926 9.438
Bi 3.400 1.963 3.146
Cl -1.118 2.093 1.639
Cl -2.147 3.874 4.652
Cl 1.118 2.093 4.652
Cl -1.028 5.811 1.639
Cl 2.372 0.078 7.931
Cl 1.254 2.015 10.944
Cl 2.147 3.874 1.639
Cl 1.028 5.811 4.652
Cl 4.429 0.078 10.944
Cl 2.282 3.796 7.931
Cl 5.547 2.015 7.931
Cl 4.519 3.796 10.944
```